Record 1
A plane-wave DFT calculation with PBE was carried out for ReOsBr2 after structural relaxation.

Properties
Uncorrected formation energy, eV per formula unit: 6.1
Symmetry: Pmmm (47)
Energy relative to the lowest polymorph listed for this composition, meV per atom: 1212.2
Theoretical density, Mg/m³: 12.53

Geometry as extended XYZ:
```
4
Lattice="2.911 0.000 0.000 0.000 5.395 0.000 0.000 0.000 4.525" Properties=species:S:1:pos:R:3 pbc="T T T"
Os 1.455 0.000 2.262
Br 0.000 0.000 0.000
Br 1.455 2.697 0.000
Re 0.000 2.697 2.262
```

=====

Record 2
A plane-wave DFT calculation with PBE was carried out for ReOsBr2 after structural relaxation.

Properties
Uncorrected formation energy, eV per formula unit: 2.7
Symmetry: Imm2 (44)
Energy relative to the lowest polymorph listed for this composition, meV per atom: 340.6
Theoretical density, Mg/m³: 9.30

Geometry as extended XYZ:
```
4
Lattice="9.336 0.147 0.003 8.127 4.596 -0.003 -8.791 -2.152 2.294" Properties=species:S:1:pos:R:3 pbc="T T T"
Br 0.352 0.096 0.000
Br 4.312 0.095 1.149
Re 5.448 2.792 1.145
Os 7.291 1.981 0.000
```

=====

Record 3
A plane-wave DFT calculation with PBE was carried out for ReOs2Br after structural relaxation.

Properties
Uncorrected formation energy, eV per formula unit: 4.1
Symmetry: C2/m (12)
Energy relative to the lowest polymorph listed for this composition, meV per atom: 247.5
Theoretical density, Mg/m³: 16.99

Geometry as extended XYZ:
```
4
Lattice="5.152 0.006 0.000 4.353 2.755 0.000 0.271 0.079 4.462" Properties=species:S:1:pos:R:3 pbc="T T T"
Br 2.444 0.710 1.116
Os 4.611 1.340 2.325
Os 0.548 0.159 4.368
Re 7.332 2.130 3.347
```